Nd2Dy2CICl4: relaxed, PBE.

The energy above the most stable polymorph in this dataset is 0.000 eV/atom.

abc: 8.8285 8.8285 8.8639
angles: 104.10 104.10 25.53
Element x y z (fractional)
C  0.5000  0.5000  0.0000
Cl  0.8260  0.8260  0.1279
Cl  0.1722  0.1722  0.2920
Cl  0.8278  0.8278  0.7080
Cl  0.1740  0.1740  0.8721
Dy  0.6434  0.6434  0.0715
Dy  0.3566  0.3566  0.9285
I  0.5000  0.5000  0.5000
Nd  0.0003  0.0003  0.1961
Nd  0.9997  0.9997  0.8039